# 1
A plane-wave DFT calculation with PBE-GGA was carried out for crystalline Cs3HgTe2O9 at its relaxed geometry.

a b c (Å): 6.1411 6.1411 7.6326
angles (deg): 90.00 90.00 120.00
Last column: nearest neighbours and their distance in Å.
Positions (direct):
Cs 0.3333 0.6667 0.6555  12 O 3.09-3.17
Cs 0.0000 0.0000 0.0000  12 O 3.00-3.07
Cs 0.6667 0.3333 0.3445  12 O 3.09-3.17
Hg 0.0000 0.0000 0.5000  6 O 2.47
Te 0.3333 0.6667 0.1603  6 O 1.92-2.15
Te 0.6667 0.3333 0.8397  6 O 1.92-2.15
O 0.8177 0.1823 0.7009  1 Te 1.92
O 0.8177 0.6353 0.7009  1 Te 1.92
O 0.3647 0.1823 0.7009  1 Te 1.92
O 0.6353 0.8177 0.2991  1 Te 1.92
O 0.1823 0.3647 0.2991  1 Te 1.92
O 0.1823 0.8177 0.2991  1 Te 1.92
O 0.5000 0.0000 0.0000  2 Te 2.15
O 0.0000 0.5000 0.0000  2 Te 2.15
O 0.5000 0.5000 0.0000  2 Te 2.15

Values from the calculation:
E_form (uncorrected) = -1255 kJ/mol of formula units
Electronic total energy = -4.4515 eV per atom

***

# 2
A plane-wave DFT calculation with PBE-GGA was carried out for crystalline Cs3HgTe2O8 at its relaxed geometry.

a b c (Å): 6.5938 6.5938 8.4983
angles (deg): 90.00 90.00 120.00
Last column: nearest neighbours and their distance in Å.
Positions (direct):
Cs 0.3333 0.6667 0.6734  1 O 2.90
Cs 0.6667 0.3333 0.3266  1 O 2.90
Cs 0.0000 0.0000 0.0000  6 O 3.34
Hg 0.0000 0.0000 0.5000  6 O 2.62
Te 0.3333 0.6667 0.2310  4 O 1.84-1.87
Te 0.6667 0.3333 0.7690  4 O 1.84-1.87
O 0.3333 0.6667 0.0142  1 Te 1.84
O 0.6667 0.3333 0.9858  1 Te 1.84
O 0.1801 0.8199 0.3097  1 Te 1.87
O 0.8199 0.1801 0.6903  1 Te 1.87
O 0.1801 0.3601 0.3097  1 Te 1.87
O 0.8199 0.6399 0.6903  1 Te 1.87
O 0.6399 0.8199 0.3097  1 Te 1.87
O 0.3601 0.1801 0.6903  1 Te 1.87

Values from the calculation:
E_form (uncorrected) = -1525 kJ/mol of formula units
Electronic total energy = -4.6152 eV per atom

***

Listing volume for the structures above in their given order: 16.6, 22.9 Å³/atom.